{
  "formula": "CeIn6Hg12",
  "functional": "PBE-GGA",
  "state": "optimized geometry",
  "dft_energy_ev_per_atom": -1.42,
  "total_magnetization_mub_per_cell": 1.14,
  "sg": "R-3 (148)",
  "formation_energy_mev_per_atom": -55,
  "cell": [[7.193, 4.153, 2.802], [-7.193, 4.153, 2.802], [0.000, -8.305, 2.802]],
  "species": ["Ce", "In", "In", "In", "In", "In", "In", "Hg", "Hg", "Hg", "Hg", "Hg", "Hg", "Hg", "Hg", "Hg", "Hg", "Hg", "Hg"],
  "frac_coords": [[0.000, 0.000, 0.000], [0.074, 0.586, 0.376], [0.376, 0.074, 0.586], [0.414, 0.624, 0.926], [0.586, 0.376, 0.074], [0.624, 0.926, 0.414], [0.926, 0.414, 0.624], [0.101, 0.168, 0.737], [0.168, 0.737, 0.101], [0.201, 0.309, 0.468], [0.263, 0.899, 0.832], [0.309, 0.468, 0.201], [0.468, 0.201, 0.309], [0.532, 0.799, 0.691], [0.691, 0.532, 0.799], [0.737, 0.101, 0.168], [0.799, 0.691, 0.532], [0.832, 0.263, 0.899], [0.899, 0.832, 0.263]]
}